# 1
Here is a relaxed structure of NaLuPdAu from Alexandria via LeMat-Bulk. Energies are from PBE.

- Crystal system: cubic
- Space group: F-43m
- Fermi-level density of states: 1.75 states/eV/f.u.
- Calculated formation energy: -568 meV/atom
- Spin magnetization: 0.0000 μB per atom
- V: 81 Å³ per cell

Unit cell a=4.853 b=4.853 c=4.853 alpha=60.00 beta=60.00 gamma=60.00
Atoms (fractional coordinates):
Na: 0.000 0.000 0.000
Lu: 0.500 0.500 0.500
Pd: 0.250 0.250 0.250
Au: 0.750 0.750 0.750



# 2
Here is a relaxed structure of NaLuTlAu from Alexandria via LeMat-Bulk. Energies are from PBE.

- Crystal system: cubic
- Space group: F-43m
- Fermi-level density of states: 2.48 states/eV/f.u.
- Calculated formation energy: -327 meV/atom
- Spin magnetization: 0.0000 μB per atom
- V: 93 Å³ per cell

Unit cell a=5.077 b=5.077 c=5.077 alpha=60.00 beta=60.00 gamma=60.00
Atoms (fractional coordinates):
Na: 0.000 0.000 0.000
Lu: 0.500 0.500 0.500
Tl: 0.250 0.250 0.250
Au: 0.750 0.750 0.750